Density functional theory data (PBE-GGA) for crystalline ErCd6Ag4 at its relaxed geometry.

Output
* electronic total energy: -42.76 eV/cell
* calculated volume: 24.08 A^3/atom

CIF file:
```
data_ErCd6Ag4
_space_group_name_H-M_alt 'I -4 2 m'
_space_group_IT_number 121
_space_group_name_Hall 'I -4 2'
_cell_length_a 7.175
_cell_length_b 7.175
_cell_length_c 10.291
_cell_angle_alpha 90.00
_cell_angle_beta 90.00
_cell_angle_gamma 90.00
loop_
_atom_site_label
_atom_site_fract_x
_atom_site_fract_y
_atom_site_fract_z
Er1 0.000 0.000 0.000
Cd1 0.000 0.500 0.000
Cd2 0.166 0.166 0.283
Ag1 0.179 0.179 0.566
```